# 1
# PBE ThZrS2, relaxed
data_ThZrS2
_chemical_formula_sum 'Th3 Zr3 S6'
_space_group_name_H-M_alt 'R 3 m'
_space_group_IT_number 160
_space_group_name_Hall 'R 3 -2"'
_cell_length_a 3.7712
_cell_length_b 3.7712
_cell_length_c 20.4673
_cell_angle_alpha 90.00
_cell_angle_beta 90.00
_cell_angle_gamma 120.00
loop_
_atom_site_label
_atom_site_type_symbol
_atom_site_fract_x
_atom_site_fract_y
_atom_site_fract_z
_atom_site_occupancy
Th1 Th 0.0000 0.0000 0.0000 1
Zr1 Zr 0.0000 0.0000 0.1769 1
S1 S 0.0000 0.0000 0.5790 1
S2 S 0.0000 0.0000 0.7636 1
# Raw total energy, eV/atom: -7.59
# Formation energy (no corrections), eV/atom: -1.537
# Volume, Å³ per cell: 252



# 2
# PBE TiS2, relaxed
data_TiS2
_chemical_formula_sum 'Ti4 S8'
_space_group_name_H-M_alt 'P b c n'
_space_group_IT_number 60
_space_group_name_Hall '-P 2n 2ab'
_cell_length_a 5.4742
_cell_length_b 7.0382
_cell_length_c 6.0060
_cell_angle_alpha 90.00
_cell_angle_beta 90.00
_cell_angle_gamma 90.00
loop_
_atom_site_label
_atom_site_type_symbol
_atom_site_fract_x
_atom_site_fract_y
_atom_site_fract_z
_atom_site_occupancy
Ti1 Ti 0.0000 0.1012 0.2500 1
S1 S 0.2477 0.1247 0.5737 1
# Raw total energy, eV/atom: -6.56
# Formation energy (no corrections), eV/atom: -1.172
# Volume, Å³ per cell: 231



# 3
# PBE TiS2, relaxed
data_TiS2
_chemical_formula_sum 'Ti4 S8'
_space_group_name_H-M_alt 'P a -3'
_space_group_IT_number 205
_space_group_name_Hall '-P 2ac 2ab 3'
_cell_length_a 6.0058
_cell_length_b 6.0058
_cell_length_c 6.0058
_cell_angle_alpha 90.00
_cell_angle_beta 90.00
_cell_angle_gamma 90.00
loop_
_atom_site_label
_atom_site_type_symbol
_atom_site_fract_x
_atom_site_fract_y
_atom_site_fract_z
_atom_site_occupancy
Ti1 Ti 0.0000 0.0000 0.0000 1
S1 S 0.1434 0.6434 0.8566 1
# Raw total energy, eV/atom: -6.34
# Formation energy (no corrections), eV/atom: -0.958
# Volume, Å³ per cell: 217



# 4
# PBE Ti5S8, relaxed
data_Ti5S8
_chemical_formula_sum 'Ti10 S16'
_space_group_name_H-M_alt 'C 1 m 1'
_space_group_IT_number 8
_space_group_name_Hall 'C -2y'
_cell_length_a 24.9389
_cell_length_b 3.4223
_cell_length_c 5.9304
_cell_angle_alpha 90.00
_cell_angle_beta 102.82
_cell_angle_gamma 90.00
loop_
_atom_site_label
_atom_site_type_symbol
_atom_site_fract_x
_atom_site_fract_y
_atom_site_fract_z
_atom_site_occupancy
Ti1 Ti 0.0000 0.0000 0.0000 1
Ti2 Ti 0.0003 0.5000 0.4865 1
Ti3 Ti 0.1287 0.0000 0.1253 1
Ti4 Ti 0.2403 0.5000 0.0737 1
Ti5 Ti 0.2432 0.0000 0.5809 1
S1 S 0.0618 0.0000 0.3849 1
S2 S 0.0635 0.5000 0.8874 1
S3 S 0.1802 0.0000 0.8384 1
S4 S 0.1799 0.5000 0.3582 1
S5 S 0.2982 0.0000 0.2918 1
S6 S 0.3003 0.5000 0.7959 1
S7 S 0.4418 0.0000 0.1057 1
S8 S 0.4444 0.5000 0.6087 1
# Raw total energy, eV/atom: -6.94
# Formation energy (no corrections), eV/atom: -1.363
# Volume, Å³ per cell: 494



# 5
# PBE TiS2, relaxed
data_TiS2
_chemical_formula_sum 'Ti4 S8'
_space_group_name_H-M_alt 'P -1'
_space_group_IT_number 2
_space_group_name_Hall '-P 1'
_cell_length_a 6.0297
_cell_length_b 6.0349
_cell_length_c 6.7245
_cell_angle_alpha 92.53
_cell_angle_beta 90.38
_cell_angle_gamma 101.61
loop_
_atom_site_label
_atom_site_type_symbol
_atom_site_fract_x
_atom_site_fract_y
_atom_site_fract_z
_atom_site_occupancy
Ti1 Ti 0.0000 0.0000 0.0000 1
Ti2 Ti 0.0000 0.5000 0.5000 1
Ti3 Ti 0.2684 0.0374 0.3876 1
S1 S 0.1135 0.2016 0.6929 1
S2 S 0.1447 0.3367 0.2047 1
S3 S 0.3640 0.8824 0.0596 1
S4 S 0.3666 0.7372 0.5657 1
# Raw total energy, eV/atom: -6.53
# Formation energy (no corrections), eV/atom: -1.145
# Volume, Å³ per cell: 239



# 6
# PBE TiS, relaxed
data_TiS
_chemical_formula_sum 'Ti6 S6'
_space_group_name_H-M_alt 'P 63/m'
_space_group_IT_number 176
_space_group_name_Hall '-P 6c'
_cell_length_a 8.4909
_cell_length_b 8.4909
_cell_length_c 4.0336
_cell_angle_alpha 90.00
_cell_angle_beta 90.00
_cell_angle_gamma 120.00
loop_
_atom_site_label
_atom_site_type_symbol
_atom_site_fract_x
_atom_site_fract_y
_atom_site_fract_z
_atom_site_occupancy
Ti1 Ti 0.1235 0.6538 0.2500 1
S1 S 0.0154 0.3308 0.2500 1
# Raw total energy, eV/atom: -7.13
# Formation energy (no corrections), eV/atom: -1.115
# Volume, Å³ per cell: 252



# 7
# PBE Ti2S3, relaxed
data_Ti2S3
_chemical_formula_sum 'Ti8 S12'
_space_group_name_H-M_alt 'C 1 2/m 1'
_space_group_IT_number 12
_space_group_name_Hall '-C 2y'
_cell_length_a 5.9411
_cell_length_b 10.2724
_cell_length_c 6.0515
_cell_angle_alpha 90.00
_cell_angle_beta 109.02
_cell_angle_gamma 90.00
loop_
_atom_site_label
_atom_site_type_symbol
_atom_site_fract_x
_atom_site_fract_y
_atom_site_fract_z
_atom_site_occupancy
Ti1 Ti 0.0000 0.0000 0.0000 1
Ti2 Ti 0.0000 0.1726 0.5000 1
Ti3 Ti 0.0000 0.5000 0.5000 1
S1 S 0.2505 0.0000 0.7478 1
S2 S 0.2500 0.1680 0.2424 1
# Raw total energy, eV/atom: -7.04
# Formation energy (no corrections), eV/atom: -1.410
# Volume, Å³ per cell: 349



# 8
# PBE TiS3, relaxed
data_TiS3
_chemical_formula_sum 'Ti2 S6'
_space_group_name_H-M_alt 'P 1 21/m 1'
_space_group_IT_number 11
_space_group_name_Hall '-P 2yb'
_cell_length_a 4.8302
_cell_length_b 3.5038
_cell_length_c 11.9948
_cell_angle_alpha 90.00
_cell_angle_beta 98.20
_cell_angle_gamma 90.00
loop_
_atom_site_label
_atom_site_type_symbol
_atom_site_fract_x
_atom_site_fract_y
_atom_site_fract_z
_atom_site_occupancy
Ti1 Ti 0.2228 0.2500 0.3998 1
S1 S 0.1710 0.7500 0.2734 1
S2 S 0.2682 0.7500 0.5586 1
S3 S 0.4055 0.2500 0.0202 1
# Raw total energy, eV/atom: -5.86
# Formation energy (no corrections), eV/atom: -0.795
# Volume, Å³ per cell: 201



# 9
# PBE Ti5S, relaxed
data_Ti5S
_chemical_formula_sum 'Ti10 S2'
_space_group_name_H-M_alt 'C m m m'
_space_group_IT_number 65
_space_group_name_Hall '-C 2 2'
_cell_length_a 4.5000
_cell_length_b 13.1691
_cell_length_c 3.2509
_cell_angle_alpha 90.00
_cell_angle_beta 90.00
_cell_angle_gamma 90.00
loop_
_atom_site_label
_atom_site_type_symbol
_atom_site_fract_x
_atom_site_fract_y
_atom_site_fract_z
_atom_site_occupancy
Ti1 Ti 0.0000 0.0000 0.0000 1
Ti2 Ti 0.0000 0.1769 0.5000 1
Ti3 Ti 0.0000 0.3498 0.0000 1
S1 S 0.0000 0.5000 0.5000 1
# Raw total energy, eV/atom: -7.52
# Formation energy (no corrections), eV/atom: -0.248
# Volume, Å³ per cell: 193



# 10
# PBE TiS, relaxed
data_TiS
_chemical_formula_sum 'Ti4 S4'
_space_group_name_H-M_alt 'I 41 m d'
_space_group_IT_number 109
_space_group_name_Hall 'I 4bw -2'
_cell_length_a 3.2352
_cell_length_b 3.2352
_cell_length_c 11.3570
_cell_angle_alpha 90.00
_cell_angle_beta 90.00
_cell_angle_gamma 90.00
loop_
_atom_site_label
_atom_site_type_symbol
_atom_site_fract_x
_atom_site_fract_y
_atom_site_fract_z
_atom_site_occupancy
Ti1 Ti 0.0000 0.0000 0.0000 1
S1 S 0.0000 0.0000 0.4160 1
# Raw total energy, eV/atom: -7.48
# Formation energy (no corrections), eV/atom: -1.464
# Volume, Å³ per cell: 119



# 11
# PBE TiS2, relaxed
data_TiS2
_chemical_formula_sum 'Ti4 S8'
_space_group_name_H-M_alt 'I -4 2 d'
_space_group_IT_number 122
_space_group_name_Hall 'I -4 2bw'
_cell_length_a 5.7406
_cell_length_b 5.7406
_cell_length_c 10.0372
_cell_angle_alpha 90.00
_cell_angle_beta 90.00
_cell_angle_gamma 90.00
loop_
_atom_site_label
_atom_site_type_symbol
_atom_site_fract_x
_atom_site_fract_y
_atom_site_fract_z
_atom_site_occupancy
Ti1 Ti 0.0000 0.0000 0.0000 1
S1 S 0.2176 0.2500 0.1250 1
# Raw total energy, eV/atom: -6.43
# Formation energy (no corrections), eV/atom: -1.049
# Volume, Å³ per cell: 331



# 12
# PBE TiS, relaxed
data_TiS
_chemical_formula_sum 'Ti2 S2'
_space_group_name_H-M_alt 'P 63 m c'
_space_group_IT_number 186
_space_group_name_Hall 'P 6c -2c'
_cell_length_a 3.5201
_cell_length_b 3.5201
_cell_length_c 7.1207
_cell_angle_alpha 90.00
_cell_angle_beta 90.00
_cell_angle_gamma 120.00
loop_
_atom_site_label
_atom_site_type_symbol
_atom_site_fract_x
_atom_site_fract_y
_atom_site_fract_z
_atom_site_occupancy
Ti1 Ti 0.3333 0.6667 0.0000 1
S1 S 0.3333 0.6667 0.6713 1
# Raw total energy, eV/atom: -7.00
# Formation energy (no corrections), eV/atom: -0.991
# Volume, Å³ per cell: 76



# 13
# PBE Ti2S3, relaxed
data_Ti2S3
_chemical_formula_sum 'Ti16 S24'
_space_group_name_H-M_alt 'C 1 2/c 1'
_space_group_IT_number 15
_space_group_name_Hall '-C 2yc'
_cell_length_a 10.3665
_cell_length_b 5.9578
_cell_length_c 11.8097
_cell_angle_alpha 90.00
_cell_angle_beta 106.81
_cell_angle_gamma 90.00
loop_
_atom_site_label
_atom_site_type_symbol
_atom_site_fract_x
_atom_site_fract_y
_atom_site_fract_z
_atom_site_occupancy
Ti1 Ti 0.0442 0.0826 0.3828 1
Ti2 Ti 0.1228 0.4153 0.6198 1
S1 S 0.0000 0.4142 0.2500 1
S2 S 0.0905 0.2525 0.9993 1
S3 S 0.1650 0.0793 0.7478 1
S4 S 0.2500 0.2500 0.5000 1
# Raw total energy, eV/atom: -7.02
# Formation energy (no corrections), eV/atom: -1.384
# Volume, Å³ per cell: 698



# 14
# PBE TiS, relaxed
data_TiS
_chemical_formula_sum 'Ti2 S2'
_space_group_name_H-M_alt 'P 1 21/m 1'
_space_group_IT_number 11
_space_group_name_Hall '-P 2yb'
_cell_length_a 3.3770
_cell_length_b 4.7018
_cell_length_c 4.4164
_cell_angle_alpha 90.00
_cell_angle_beta 109.72
_cell_angle_gamma 90.00
loop_
_atom_site_label
_atom_site_type_symbol
_atom_site_fract_x
_atom_site_fract_y
_atom_site_fract_z
_atom_site_occupancy
Ti1 Ti 0.2430 0.2500 0.2419 1
S1 S 0.0888 0.7500 0.3335 1
# Raw total energy, eV/atom: -7.13
# Formation energy (no corrections), eV/atom: -1.118
# Volume, Å³ per cell: 66



# 15
# PBE Ti2S, relaxed
data_Ti2S
_chemical_formula_sum 'Ti8 S4'
_space_group_name_H-M_alt 'P n m a'
_space_group_IT_number 62
_space_group_name_Hall '-P 2ac 2n'
_cell_length_a 6.4797
_cell_length_b 3.3217
_cell_length_c 8.0453
_cell_angle_alpha 90.00
_cell_angle_beta 90.00
_cell_angle_gamma 90.00
loop_
_atom_site_label
_atom_site_type_symbol
_atom_site_fract_x
_atom_site_fract_y
_atom_site_fract_z
_atom_site_occupancy
Ti1 Ti 0.0177 0.2500 0.1704 1
Ti2 Ti 0.1494 0.2500 0.5594 1
S1 S 0.2255 0.7500 0.3490 1
# Raw total energy, eV/atom: -7.69
# Formation energy (no corrections), eV/atom: -1.049
# Volume, Å³ per cell: 173



# 16
# PBE TiS, relaxed
data_TiS
_chemical_formula_sum 'Ti8 S8'
_space_group_name_H-M_alt 'P 21 21 21'
_space_group_IT_number 19
_space_group_name_Hall 'P 2ac 2ab'
_cell_length_a 5.6174
_cell_length_b 5.9539
_cell_length_c 7.9313
_cell_angle_alpha 90.00
_cell_angle_beta 90.00
_cell_angle_gamma 90.00
loop_
_atom_site_label
_atom_site_type_symbol
_atom_site_fract_x
_atom_site_fract_y
_atom_site_fract_z
_atom_site_occupancy
Ti1 Ti 0.0673 0.1231 0.2996 1
Ti2 Ti 0.0876 0.3134 0.9349 1
S1 S 0.1976 0.5621 0.6954 1
S2 S 0.2176 0.9462 0.0507 1
# Raw total energy, eV/atom: -7.22
# Formation energy (no corrections), eV/atom: -1.210
# Volume, Å³ per cell: 265



# 17
# PBE TiS2, relaxed
data_TiS2
_chemical_formula_sum 'Ti2 S4'
_space_group_name_H-M_alt 'I 4/m m m'
_space_group_IT_number 139
_space_group_name_Hall '-I 4 2'
_cell_length_a 3.1365
_cell_length_b 3.1365
_cell_length_c 9.7274
_cell_angle_alpha 90.00
_cell_angle_beta 90.00
_cell_angle_gamma 90.00
loop_
_atom_site_label
_atom_site_type_symbol
_atom_site_fract_x
_atom_site_fract_y
_atom_site_fract_z
_atom_site_occupancy
Ti1 Ti 0.0000 0.0000 0.0000 1
S1 S 0.0000 0.0000 0.3641 1
# Raw total energy, eV/atom: -6.22
# Formation energy (no corrections), eV/atom: -0.836
# Volume, Å³ per cell: 96



# 18
# PBE TiS2, relaxed
data_TiS2
_chemical_formula_sum 'Ti4 S8'
_space_group_name_H-M_alt 'C 1 2/m 1'
_space_group_IT_number 12
_space_group_name_Hall '-C 2y'
_cell_length_a 5.8996
_cell_length_b 3.4063
_cell_length_c 13.4260
_cell_angle_alpha 90.00
_cell_angle_beta 98.95
_cell_angle_gamma 90.00
loop_
_atom_site_label
_atom_site_type_symbol
_atom_site_fract_x
_atom_site_fract_y
_atom_site_fract_z
_atom_site_occupancy
Ti1 Ti 0.0821 0.0000 0.2433 1
S1 S 0.0464 0.5000 0.6492 1
S2 S 0.2109 0.5000 0.1358 1
# Raw total energy, eV/atom: -6.66
# Formation energy (no corrections), eV/atom: -1.278
# Volume, Å³ per cell: 267



# 19
# PBE Ti2S, relaxed
data_Ti2S
_chemical_formula_sum 'Ti24 S12'
_space_group_name_H-M_alt 'P n n m'
_space_group_IT_number 58
_space_group_name_Hall '-P 2 2n'
_cell_length_a 11.3624
_cell_length_b 14.0138
_cell_length_c 3.3234
_cell_angle_alpha 90.00
_cell_angle_beta 90.00
_cell_angle_gamma 90.00
loop_
_atom_site_label
_atom_site_type_symbol
_atom_site_fract_x
_atom_site_fract_y
_atom_site_fract_z
_atom_site_occupancy
Ti1 Ti 0.0303 0.1102 0.0000 1
Ti2 Ti 0.0871 0.7443 0.5000 1
Ti3 Ti 0.0886 0.5791 0.0000 1
Ti4 Ti 0.1192 0.4224 0.5000 1
Ti5 Ti 0.1532 0.9798 0.5000 1
Ti6 Ti 0.1900 0.2081 0.5000 1
S1 S 0.0674 0.2940 0.0000 1
S2 S 0.1852 0.8505 0.0000 1
S3 S 0.2453 0.5884 0.5000 1
# Raw total energy, eV/atom: -7.73
# Formation energy (no corrections), eV/atom: -1.090
# Volume, Å³ per cell: 529



# 20
# PBE Ti5S6, relaxed
data_Ti5S6
_chemical_formula_sum 'Ti10 S12'
_space_group_name_H-M_alt 'C 1 2/m 1'
_space_group_IT_number 12
_space_group_name_Hall '-C 2y'
_cell_length_a 6.0018
_cell_length_b 10.4807
_cell_length_c 5.9870
_cell_angle_alpha 90.00
_cell_angle_beta 109.27
_cell_angle_gamma 90.00
loop_
_atom_site_label
_atom_site_type_symbol
_atom_site_fract_x
_atom_site_fract_y
_atom_site_fract_z
_atom_site_occupancy
Ti1 Ti 0.0000 0.0000 0.0000 1
Ti2 Ti 0.0000 0.1723 0.5000 1
Ti3 Ti 0.0000 0.3172 0.0000 1
S1 S 0.2398 0.3416 0.7430 1
S2 S 0.2434 0.5000 0.2520 1
# Raw total energy, eV/atom: -7.19
# Formation energy (no corrections), eV/atom: -1.349
# Volume, Å³ per cell: 356



The evaluated total magnetization for the records listed, in turn: 0.00, 0.00, 0.00, 0.00, 0.00, 0.00, 0.00, 0.00, 0.02, 0.00, 0.00, 0.00, 0.00, 0.00, 0.00, 0.00, 0.00, 0.00, 0.00, 0.00 μB per atom.